*P*
Entry from Alexandria via LeMat-Bulk: crystalline ZnOs3S at its relaxed geometry (GGA-PBE).

It has space group Pm-3m (No. 221), with a = 4.5114 Å, b = 4.5114 Å, c = 4.5114 Å, α = 90.00°, β = 90.00° and γ = 90.00°. The asymmetric unit holds Zn at (0.0000, 0.0000, 0.0000), Os at (0.0000, 0.0000, 0.5000) and S at (0.5000, 0.5000, 0.5000).

***

*Q*
Entry from Alexandria via LeMat-Bulk: crystalline ZnOs3S at its relaxed geometry (GGA-PBE).

It has space group Pm-3m (No. 221), with a = 4.3321 Å, b = 4.3321 Å, c = 4.3321 Å, α = 90.00°, β = 90.00° and γ = 90.00°. The asymmetric unit holds Zn at (0.0000, 0.0000, 0.0000), Os at (0.0000, 0.5000, 0.5000) and S at (0.5000, 0.5000, 0.5000).

***

So which one is most stable? That would be *Q*, about 1479 meV/atom below the next structure.

***

*P*
Entry from Alexandria via LeMat-Bulk: crystalline Zn2OsS2 at its relaxed geometry (GGA-PBE).

It has space group P4/mbm (No. 127), with a = 6.4498 Å, b = 6.4498 Å, c = 3.8235 Å, α = 90.00°, β = 90.00° and γ = 90.00°. The asymmetric unit holds Zn at (0.1453, 0.3547, 0.0000), Os at (0.0000, 0.0000, 0.5000) and S at (0.1778, 0.6778, 0.5000).

***

*Q*
Entry from Alexandria via LeMat-Bulk: crystalline Zn2OsS2 at its relaxed geometry (GGA-PBE).

It has space group I4/mmm (No. 139), with a = 3.1906 Å, b = 3.1906 Å, c = 17.0926 Å, α = 90.00°, β = 90.00° and γ = 90.00°. The asymmetric unit holds Zn at (0.0000, 0.5000, 0.2500), Os at (0.0000, 0.0000, 0.0000) and S at (0.0000, 0.0000, 0.4203).

***

So which one is most stable? That would be *P*, about 304 meV/atom below the next structure.